P) Dy4Tl5Hg | PBE-GGA | optimized geometry

a b c (Å): 9.1042 9.1042 6.5025
angles (deg): 108.47 108.47 32.16
With the nearest neighbours (Å) after each atom.
Sites, in units of the cell vectors:
Dy (0.0852, 0.0852, 0.3374)  7 Tl 3.18-3.38, 2 Hg 3.35
Dy (0.3024, 0.3024, 0.8826)  7 Tl 3.17-3.35, 1 Hg 3.28
Dy (0.6976, 0.6976, 0.1174)  7 Tl 3.17-3.35, 1 Hg 3.28
Dy (0.9148, 0.9148, 0.6626)  7 Tl 3.18-3.38, 2 Hg 3.35
Tl (0.1073, 0.1073, 0.8496)  6 Dy 3.17-3.35, 2 Hg 3.47, 2 Tl 3.50
Tl (0.2958, 0.2958, 0.3867)  6 Dy 3.19-3.38, 3 Tl 3.40-3.56
Tl (0.5000, 0.5000, 0.5000)  2 Hg 3.25, 4 Dy 3.28, 6 Tl 3.40-3.50
Tl (0.7042, 0.7042, 0.6133)  6 Dy 3.19-3.38, 3 Tl 3.40-3.56
Tl (0.8927, 0.8927, 0.1504)  6 Dy 3.17-3.35, 2 Hg 3.47, 2 Tl 3.50
Hg (0.5000, 0.5000, 0.0000)  6 Tl 3.25-3.47, 6 Dy 3.28-3.35

## Properties
crystal system = monoclinic

Q) Dy4Tl5Hg | PBE-GGA | optimized geometry

a b c (Å): 7.9294 10.0958 7.5180
angles (deg): 90.00 90.00 90.00
With the nearest neighbours (Å) after each atom.
Sites, in units of the cell vectors:
Dy (0.0014, 0.2500, 0.2086)  1 Hg 3.04, 3 Tl 3.07-3.20
Dy (0.2500, 0.5603, 0.4686)  1 Hg 3.15, 5 Tl 3.24-3.36
Dy (0.2500, 0.9397, 0.4686)  1 Hg 3.15, 5 Tl 3.24-3.36
Dy (0.4986, 0.2500, 0.2086)  1 Hg 3.04, 3 Tl 3.07-3.20
Dy (0.5014, 0.7500, 0.7914)  1 Hg 3.04, 3 Tl 3.07-3.20
Dy (0.7500, 0.0603, 0.5314)  1 Hg 3.15, 5 Tl 3.24-3.36
Dy (0.7500, 0.4397, 0.5314)  1 Hg 3.15, 5 Tl 3.24-3.36
Dy (0.9986, 0.7500, 0.7914)  1 Hg 3.04, 3 Tl 3.07-3.20
Tl (0.0579, 0.0629, 0.8142)  3 Tl 3.05-3.20, 3 Dy 3.20-3.26, 1 Hg 3.30
Tl (0.0579, 0.4371, 0.8142)  3 Tl 3.05-3.20, 3 Dy 3.20-3.26, 1 Hg 3.30
Tl (0.2500, 0.7500, 0.1014)  4 Dy 3.07-3.36, 4 Tl 3.15
Tl (0.4421, 0.0629, 0.8142)  3 Tl 3.05-3.20, 3 Dy 3.20-3.26, 1 Hg 3.30
Tl (0.4421, 0.4371, 0.8142)  3 Tl 3.05-3.20, 3 Dy 3.20-3.26, 1 Hg 3.30
Tl (0.5579, 0.5629, 0.1858)  3 Tl 3.05-3.20, 3 Dy 3.20-3.26, 1 Hg 3.30
Tl (0.5579, 0.9371, 0.1858)  3 Tl 3.05-3.20, 3 Dy 3.20-3.26, 1 Hg 3.30
Tl (0.7500, 0.2500, 0.8986)  4 Dy 3.07-3.36, 4 Tl 3.15
Tl (0.9421, 0.5629, 0.1858)  3 Tl 3.05-3.20, 3 Dy 3.20-3.26, 1 Hg 3.30
Tl (0.9421, 0.9371, 0.1858)  3 Tl 3.05-3.20, 3 Dy 3.20-3.26, 1 Hg 3.30
Hg (0.2500, 0.2500, 0.5165)  4 Dy 3.04-3.15, 4 Tl 3.30
Hg (0.7500, 0.7500, 0.4834)  4 Dy 3.04-3.15, 4 Tl 3.30

## Properties
crystal system = orthorhombic

Which of them is the least stable? Correct choice: Q).

P) Dy4Tl3Hg | PBE-GGA | optimized geometry

a b c (Å): 3.7729 3.7729 15.1657
angles (deg): 90.00 90.00 90.00
With the nearest neighbours (Å) after each atom.
Sites, in units of the cell vectors:
Dy (0.0000, 0.0000, 0.1184)  4 Hg 3.22, 4 Tl 3.29, 1 Dy 3.59
Dy (0.0000, 0.0000, 0.3725)  8 Tl 3.29
Dy (0.0000, 0.0000, 0.6275)  8 Tl 3.29
Dy (0.0000, 0.0000, 0.8816)  4 Hg 3.22, 4 Tl 3.29, 1 Dy 3.59
Tl (0.5000, 0.5000, 0.2455)  8 Dy 3.29
Tl (0.5000, 0.5000, 0.5000)  8 Dy 3.29
Tl (0.5000, 0.5000, 0.7545)  8 Dy 3.29
Hg (0.5000, 0.5000, 0.0000)  8 Dy 3.22

## Properties
crystal system = tetragonal

Q) Dy4Tl3Hg | PBE-GGA | optimized geometry

a b c (Å): 4.3356 4.5137 11.5537
angles (deg): 90.00 90.00 90.00
With the nearest neighbours (Å) after each atom.
Sites, in units of the cell vectors:
Dy (0.0000, 0.0000, 0.0000)  5 Tl 3.17, 2 Hg 3.40
Dy (0.0000, 0.5000, 0.2694)  3 Tl 3.15-3.40, 4 Hg 3.17
Dy (0.5000, 0.0000, 0.4930)  1 Hg 3.07, 4 Tl 3.18
Dy (0.5000, 0.5000, 0.7719)  7 Tl 3.14-3.43
Tl (0.0000, 0.0000, 0.7259)  2 Tl 3.10, 7 Dy 3.17-3.46
Tl (0.0000, 0.5000, 0.5423)  2 Tl 3.10, 7 Dy 3.15-3.43
Tl (0.5000, 0.5000, 0.0433)  2 Hg 3.10, 7 Dy 3.14-3.40
Hg (0.5000, 0.0000, 0.2271)  7 Dy 3.07-3.40, 2 Tl 3.10

## Properties
crystal system = orthorhombic

Which of them is the least stable? Correct choice: Q).

P) Dy2TlHg4 | PBE-GGA | optimized geometry

a b c (Å): 8.0733 8.0733 8.0733
angles (deg): 37.97 37.97 37.97
With the nearest neighbours (Å) after each atom.
Sites, in units of the cell vectors:
Dy (0.2216, 0.2216, 0.2216)  5 Hg 3.10-3.25, 3 Tl 3.27
Dy (0.7784, 0.7784, 0.7784)  5 Hg 3.10-3.25, 3 Tl 3.27
Tl (0.5000, 0.5000, 0.5000)  2 Hg 3.15, 6 Dy 3.27
Hg (0.0766, 0.0766, 0.0766)  4 Dy 3.13-3.25, 4 Hg 3.24-3.44
Hg (0.3595, 0.3595, 0.3595)  1 Dy 3.10, 1 Tl 3.15, 6 Hg 3.24-3.25
Hg (0.6405, 0.6405, 0.6405)  1 Dy 3.10, 1 Tl 3.15, 6 Hg 3.24-3.25
Hg (0.9234, 0.9234, 0.9234)  4 Dy 3.13-3.25, 4 Hg 3.24-3.44

## Properties
crystal system = trigonal

Q) Dy2TlHg4 | PBE-GGA | optimized geometry

a b c (Å): 7.3131 7.3131 7.3131
angles (deg): 133.79 133.79 67.42
With the nearest neighbours (Å) after each atom.
Sites, in units of the cell vectors:
Dy (0.1425, 0.1425, 0.0000)  8 Hg 3.15-3.35, 1 Dy 3.47
Dy (0.8575, 0.8575, 0.0000)  8 Hg 3.15-3.35, 1 Dy 3.47
Tl (0.5000, 0.5000, 0.0000)  4 Hg 2.87
Hg (0.0000, 0.5000, 0.5000)  2 Tl 2.87, 2 Hg 3.04
Hg (0.2500, 0.7500, 0.5000)  2 Hg 3.04, 4 Dy 3.15
Hg (0.5000, 0.0000, 0.5000)  2 Tl 2.87, 2 Hg 3.04
Hg (0.7500, 0.2500, 0.5000)  2 Hg 3.04, 4 Dy 3.15

## Properties
crystal system = tetragonal

Which of them is the least stable? Correct choice: Q).